Entry from the Alexandria database: a relaxed Zr3N4 crystal (PBE-GGA).

raw formation energy	-1445	meV per atom
total energy	-9.8658	eV/atom
relative energy among the computed polymorphs	35	meV per atom

Unit cell a=9.210 b=9.210 c=9.210 alpha=90.00 beta=90.00 gamma=90.00
Space group Fd-3m (No. 227, origin choice 2)
Unique sites:
Zr1 0.000 0.000 0.000
Zr2 0.125 0.125 0.625
N1 0.008 0.008 0.242

---

Entry from the Alexandria database: a relaxed SrY3Ru crystal (PBE-GGA).

total energy	-6.1899	eV/atom
relative energy among the computed polymorphs	57	meV per atom
ΔH_f (0 K)	-119.9	meV/atom
D(E_F)	1.15	states/eV/atom

Unit cell a=8.048 b=5.453 c=7.782 alpha=90.00 beta=90.00 gamma=90.00
Space group Pmma (No. 51)
Unique sites:
Sr1 0.250 0.000 0.001
Y1 0.000 0.500 0.264
Y2 0.250 0.000 0.500
Ru1 0.250 0.500 0.500

---

Entry from the Alexandria database: a relaxed Sr2Ga3HgPd4 crystal (PBE-GGA).

total energy	-4.0065	eV/atom
ΔH_f (0 K)	-654.8	meV/atom
D(E_F)	0.54	states/eV/atom

Unit cell a=4.479 b=4.479 c=10.619 alpha=90.00 beta=90.00 gamma=90.00
Space group P-4m2 (No. 115)
Unique sites:
Sr1 0.000 0.500 0.244
Ga1 0.000 0.500 0.885
Ga2 0.500 0.500 0.500
Hg1 0.000 0.000 0.500
Pd1 0.000 0.000 0.000
Pd2 0.000 0.500 0.649
Pd3 0.500 0.500 0.000

---

Entry from the Alexandria database: a relaxed SmGdBeRh crystal (PBE-GGA).

total energy	-7.7604	eV/atom
ΔH_f (0 K)	-291.0	meV/atom
D(E_F)	0.56	states/eV/atom

Unit cell a=6.971 b=6.971 c=6.971 alpha=90.00 beta=90.00 gamma=90.00
Space group F-43m (No. 216)
Unique sites:
Sm1 0.000 0.000 0.000
Gd1 0.000 0.000 0.500
Be1 0.250 0.250 0.250
Rh1 0.250 0.250 0.750

---

Entry from the Alexandria database: a relaxed Li4Dy3Si4 crystal (PBE-GGA).

raw formation energy	-552	meV per atom
total energy	-4.4751	eV/atom
D(E_F)	0.23	states/eV/atom

Unit cell a=4.287 b=6.594 c=14.195 alpha=90.00 beta=90.00 gamma=90.00
Space group Immm (No. 71)
Unique sites:
Li1 0.000 0.191 0.172
Dy1 0.000 0.000 0.371
Dy2 0.000 0.500 0.500
Si1 0.000 0.319 0.000
Si2 0.000 0.500 0.287

---

Entry from the Alexandria database: a relaxed Sm8In3 crystal (PBE-GGA).

total energy	-4.1167	eV/atom
ΔH_f (0 K)	62.2	meV/atom
D(E_F)	1.88	states/eV/atom

Unit cell a=10.2086 b=10.2086 c=12.8399 alpha=90.00 beta=90.00 gamma=120.00
Space group R-3 (No. 148, hexagonal axes)
Unique sites:
Sm1 0.0000 0.0000 0.1433
Sm2 0.0319 0.7960 0.6123
In1 0.0000 0.5000 0.5000